No. 1
This record from Alexandria via LeMat-Bulk describes a crystal of Al4ZnS7 relaxed with PBEsol. The functional is meta-GGA SCAN.

Unit cell a=6.1702 b=6.5432 c=15.2371 alpha=90.00 beta=90.00 gamma=90.00
With the nearest neighbours (Å) after each atom.
Sites, in units of the cell vectors:
S (0.0539, 0.8161, 0.1290)  1 Zn 2.26, 2 Al 2.28-2.29
S (0.5539, 0.1839, 0.3710)  1 Zn 2.26, 2 Al 2.28-2.29
S (0.0539, 0.8161, 0.8710)  1 Zn 2.26, 2 Al 2.28-2.29
S (0.0497, 0.3414, 0.2572)  3 Al 2.31-2.32
S (0.5375, 0.1655, 0.8732)  2 Al 2.20
S (0.5497, 0.6586, 0.2428)  3 Al 2.31-2.32
S (0.5497, 0.6586, 0.7572)  3 Al 2.31-2.32
S (0.5289, 0.6786, 0.0000)  1 Zn 2.27, 2 Al 2.30
S (0.0497, 0.3414, 0.7428)  3 Al 2.31-2.32
S (0.5375, 0.1655, 0.1268)  2 Al 2.20
S (0.0289, 0.3214, 0.5000)  1 Zn 2.27, 2 Al 2.30
S (0.0375, 0.8345, 0.6268)  2 Al 2.20
S (0.0375, 0.8345, 0.3732)  2 Al 2.20
S (0.5539, 0.1839, 0.6290)  1 Zn 2.26, 2 Al 2.28-2.29
Al (0.4237, 0.3261, 0.7554)  4 S 2.20-2.32
Al (0.9229, 0.1527, 0.6254)  4 S 2.20-2.31
Al (0.9237, 0.6739, 0.7446)  4 S 2.20-2.32
Al (0.4237, 0.3261, 0.2446)  4 S 2.20-2.32
Al (0.4229, 0.8473, 0.8746)  4 S 2.20-2.31
Al (0.9229, 0.1527, 0.3746)  4 S 2.20-2.31
Al (0.4229, 0.8473, 0.1254)  4 S 2.20-2.31
Al (0.9237, 0.6739, 0.2554)  4 S 2.20-2.32
Zn (0.3889, 0.2537, 0.5000)  3 S 2.26-2.27
Zn (0.8889, 0.7463, 0.0000)  3 S 2.26-2.27

## Properties
Calculated volume = 25.63 Å³ per atom
M_tot = 0.01 μB per cell
Density of states at the Fermi level = 0.000 states/eV per cell
Raw total energy = -10.470 eV/atom
E_form (uncorrected) = -13.7 eV/f.u.


No. 2
This record from Alexandria via LeMat-Bulk describes a crystal of InSbAs relaxed with PBEsol. The functional is meta-GGA SCAN.

Unit cell a=3.1394 b=3.1394 c=7.7967 alpha=97.51 beta=97.51 gamma=110.56
With the nearest neighbours (Å) after each atom.
Sites, in units of the cell vectors:
As (0.0022, 0.0022, 0.0044)  2 Sb 2.93, 2 In 3.01, 4 As 3.14
Sb (0.6552, 0.6552, 0.3104)  2 As 2.93, 4 Sb 3.14
In (0.3426, 0.3426, 0.6852)  2 As 3.01, 4 In 3.14, 2 Sb 3.36

## Properties
E above lowest polymorph = 259 meV per atom
Calculated volume = 23.34 Å³ per atom
M_tot = 0.00 μB per cell
Density of states at the Fermi level = 1.547 states/eV per cell
Raw total energy = -29.979 eV/atom
E_form (uncorrected) = 0.9 eV/f.u.


No. 3
This record from Alexandria via LeMat-Bulk describes a crystal of MoAs3Os relaxed with PBEsol. The functional is meta-GGA SCAN.

Unit cell a=4.7297 b=4.7297 c=4.7297 alpha=90.00 beta=90.00 gamma=90.00
With the nearest neighbours (Å) after each atom.
Sites, in units of the cell vectors:
As (0.5000, 0.0000, 0.0000)  2 Os 2.36
As (0.0000, 0.0000, 0.5000)  2 Os 2.36
As (0.0000, 0.5000, 0.0000)  2 Os 2.36
Mo (0.5000, 0.5000, 0.5000)  12 As 3.34
Os (0.0000, 0.0000, 0.0000)  6 As 2.36

## Properties
Calculated volume = 21.16 Å³ per atom
M_tot = 3.03 μB per cell
E_form = 1167 meV/atom
Density of states at the Fermi level = 3.861 states/eV per cell
Raw total energy = -32.300 eV/atom


- M_tot of number 2 (InSbAs)?
  0.00 μB per cell